This record from the Alexandria database describes a geometry-optimized Rb2NdTe2O6 structure. The functional is GGA-PBE. Values from VASP.

Computed properties:
The total energy is -5.569 eV/atom. The calculation puts the density of states at the Fermi level at 0.32 states/eV/atom. The value obtained for the magnetization is 0.06 μB/atom.

Cell and atoms, written as Quantum ESPRESSO input:
```
&SYSTEM
  ibrav = 0, nat = 11, ntyp = 4
/
ATOMIC_SPECIES
Rb 85.47 Rb.upf
Nd 144.24 Nd.upf
O 16.00 O.upf
Te 127.60 Te.upf
ATOMIC_POSITIONS crystal
Rb 0.787 0.574 0.331
Rb 0.213 0.426 0.669
Nd 0.500 0.000 0.500
O 0.274 0.549 0.341
O 0.821 0.106 0.342
O 0.285 0.106 0.342
O 0.726 0.451 0.659
O 0.715 0.894 0.658
O 0.179 0.894 0.658
Te 0.089 0.178 0.222
Te 0.911 0.822 0.778
CELL_PARAMETERS angstrom
-5.208 -3.324 -1.526
3.965 1.926 -4.455
3.485 -7.071 3.510
```